1.
Computed, not measured: an optimized crystal structure of AcCoSi2Os at the PBE level of DFT.

- Total moment: 0.00 μB/f.u.
- Energy relative to the elements, uncorrected: -0.63 eV per atom
- Total DFT energy (no corrections): -36.465 eV for the cell shown
- Space-group type: No. 119

abc: 4.134 4.134 6.086
angles: 109.85 109.85 90.00
Sites, in units of the cell vectors:
Ac: 0.000 0.000 0.000
Si: 0.643 0.643 0.286
Si: 0.357 0.357 0.714
Co: 0.750 0.250 0.500
Os: 0.250 0.750 0.500

2.
Computed, not measured: an optimized crystal structure of Ca2AgMo at the PBE level of DFT.

- Total moment: 2.10 μB/f.u.
- E above lowest polymorph: 0.100 eV per atom
- Total DFT energy (no corrections): -15.605 eV for the cell shown
- Space-group type: No. 44

abc: 6.339 6.339 6.339
angles: 148.21 131.91 58.81
Sites, in units of the cell vectors:
Ag: 0.272 0.772 0.500
Mo: 0.470 0.470 0.000
Ca: 0.022 0.022 0.000
Ca: 0.735 0.235 0.500

3.
Computed, not measured: an optimized crystal structure of Pa2Co4P3Os at the PBE level of DFT.

- Total moment: 0.57 μB/f.u.
- Total DFT energy (no corrections): -82.451 eV for the cell shown
- Space-group type: No. 115

abc: 3.721 3.721 10.304
angles: 90.00 90.00 90.00
Sites, in units of the cell vectors:
P: 0.000 0.500 0.119
P: 0.500 0.000 0.881
P: 0.000 0.000 0.500
Pa: 0.000 0.500 0.747
Pa: 0.500 0.000 0.253
Co: 0.000 0.500 0.332
Co: 0.500 0.000 0.668
Co: 0.000 0.000 0.000
Co: 0.500 0.500 0.000
Os: 0.500 0.500 0.500

4.
Computed, not measured: an optimized crystal structure of AlCu2Ru at the PBE level of DFT.

- Total moment: 0.00 μB/f.u.
- Total DFT energy (no corrections): -21.680 eV for the cell shown
- Space-group type: No. 8

abc: 4.639 4.639 4.238
angles: 69.21 69.21 38.21
Sites, in units of the cell vectors:
Cu: 0.999 0.999 0.966
Cu: 0.743 0.743 0.792
Al: 0.254 0.254 0.276
Ru: 0.505 0.505 0.465

5.
Computed, not measured: an optimized crystal structure of Ho3Er3Au4 at the PBE level of DFT.

- Total moment: 0.00 μB/f.u.
- Total DFT energy (no corrections): -47.661 eV for the cell shown
- Space-group type: No. 38

abc: 3.765 8.128 8.128
angles: 89.69 90.00 90.00
Sites, in units of the cell vectors:
Au: 0.000 0.365 0.635
Au: 0.000 0.135 0.133
Au: 0.000 0.634 0.366
Au: 0.000 0.867 0.865
Ho: 0.500 0.662 0.663
Ho: 0.500 0.337 0.338
Ho: 0.500 0.838 0.162
Er: 0.500 0.162 0.838
Er: 0.000 0.500 0.000
Er: 0.000 0.000 0.500

6.
Computed, not measured: an optimized crystal structure of Ba2Tm3S6 at the PBE level of DFT.

- Total moment: 0.00 μB/f.u.
- Energy relative to the elements, uncorrected: -2.07 eV per atom
- Total DFT energy (no corrections): -64.803 eV for the cell shown
- Space-group type: No. 12

abc: 6.903 6.900 7.626
angles: 81.35 72.50 59.98
Sites, in units of the cell vectors:
S: 0.264 0.000 0.206
S: 0.401 0.666 0.796
S: 0.736 0.000 0.794
S: 0.067 0.334 0.796
S: 0.933 0.666 0.204
S: 0.599 0.334 0.204
Ba: 0.167 0.666 0.500
Ba: 0.833 0.334 0.500
Tm: 0.665 0.670 0.000
Tm: 0.000 0.000 0.000
Tm: 0.335 0.330 0.000

7.
Computed, not measured: an optimized crystal structure of Pr3Ho7Sc2 at the PBE level of DFT.

- Total moment: 0.00 μB/f.u.
- Total DFT energy (no corrections): -56.181 eV for the cell shown
- Space-group type: No. 10

abc: 3.587 5.526 20.223
angles: 90.00 95.10 90.00
Sites, in units of the cell vectors:
Sc: 0.639 0.500 0.275
Sc: 0.361 0.500 0.725
Ho: 0.070 0.500 0.139
Ho: 0.715 0.500 0.430
Ho: 0.285 0.500 0.570
Ho: 0.000 0.000 0.000
Ho: 0.411 0.000 0.824
Ho: 0.930 0.500 0.861
Ho: 0.589 0.000 0.176
Pr: 0.500 0.500 0.000
Pr: 0.171 0.000 0.340
Pr: 0.829 0.000 0.660

8.
Computed, not measured: an optimized crystal structure of V4CrSi2 at the PBE level of DFT.

- Total moment: 1.33 μB/f.u.
- Energy relative to the elements, uncorrected: 0.57 eV per atom
- Total DFT energy (no corrections): -52.985 eV for the cell shown
- Space-group type: No. 139

abc: 4.138 4.138 7.081
angles: 73.01 73.01 90.00
Sites, in units of the cell vectors:
V: 0.500 0.000 0.000
V: 0.824 0.824 0.352
V: 0.000 0.500 0.000
V: 0.176 0.176 0.648
Si: 0.367 0.367 0.266
Si: 0.633 0.633 0.734
Cr: 0.000 0.000 0.000

9.
Computed, not measured: an optimized crystal structure of NbHg2Rh at the PBE level of DFT.

- Total moment: 0.00 μB/f.u.
- E above lowest polymorph: 0.342 eV per atom
- Total DFT energy (no corrections): -31.315 eV for the cell shown
- Space-group type: No. 122

abc: 7.678 7.678 6.084
angles: 50.88 50.88 90.00
Sites, in units of the cell vectors:
Rh: 0.750 0.250 0.500
Rh: 0.000 0.000 0.000
Hg: 0.875 0.887 0.750
Hg: 0.637 0.125 0.250
Hg: 0.375 0.363 0.750
Hg: 0.113 0.625 0.250
Nb: 0.250 0.750 0.500
Nb: 0.500 0.500 0.000

10.
Computed, not measured: an optimized crystal structure of BaBeAg at the PBE level of DFT.

- Total moment: 0.00 μB/f.u.
- E above lowest polymorph: 0.056 eV per atom
- Total DFT energy (no corrections): -16.235 eV for the cell shown
- Space-group type: No. 1

abc: 4.324 6.481 6.548
angles: 110.55 90.11 109.35
Sites, in units of the cell vectors:
Ba: 0.445 0.209 0.906
Ba: 0.639 0.601 0.518
Ag: 0.752 0.826 0.085
Ag: 0.928 0.176 0.500
Be: 0.310 0.942 0.284
Be: 0.167 0.657 0.952

11.
Computed, not measured: an optimized crystal structure of ZrInSe2 at the PBE level of DFT.

- Total moment: 0.00 μB/f.u.
- Energy relative to the elements, uncorrected: -0.67 eV per atom
- Total DFT energy (no corrections): -41.909 eV for the cell shown
- Space-group type: No. 141

abc: 5.767 5.767 7.132
angles: 66.15 66.15 90.00
Sites, in units of the cell vectors:
Zr: 0.250 0.750 0.500
Zr: 0.500 0.500 0.000
In: 0.750 0.250 0.500
In: 0.000 0.000 0.000
Se: 0.012 0.512 0.976
Se: 0.738 0.738 0.524
Se: 0.262 0.262 0.476
Se: 0.488 0.988 0.024

12.
Computed, not measured: an optimized crystal structure of SrHfTeI2 at the PBE level of DFT.

- Total moment: 0.04 μB/f.u.
- Energy relative to the elements, uncorrected: 0.26 eV per atom
- E above lowest polymorph: 0.870 eV per atom
- Total DFT energy (no corrections): -16.567 eV for the cell shown
- Space-group type: No. 123

abc: 6.028 6.028 6.422
angles: 90.00 90.00 90.00
Sites, in units of the cell vectors:
I: 0.000 0.500 0.000
I: 0.500 0.000 0.000
Te: 0.000 0.000 0.500
Sr: 0.000 0.000 0.000
Hf: 0.500 0.500 0.500

13.
Computed, not measured: an optimized crystal structure of Cs2KBr at the PBE level of DFT.

- Total moment: 0.00 μB/f.u.
- Energy relative to the elements, uncorrected: -0.83 eV per atom
- E above lowest polymorph: 0.026 eV per atom
- Total DFT energy (no corrections): -7.787 eV for the cell shown
- Space-group type: No. 123

abc: 4.587 4.587 12.367
angles: 90.00 90.00 90.00
Sites, in units of the cell vectors:
Cs: 0.000 0.000 0.172
Cs: 0.000 0.000 0.828
K: 0.500 0.500 0.500
Br: 0.500 0.500 0.000

14.
Computed, not measured: an optimized crystal structure of CaPrZn17 at the PBE level of DFT.

- Total moment: 0.00 μB/f.u.
- Total DFT energy (no corrections): -32.546 eV for the cell shown
- Space-group type: No. 160

abc: 6.856 6.856 6.856
angles: 82.87 82.87 82.87
Sites, in units of the cell vectors:
Zn: 0.294 0.705 0.001
Zn: 0.001 0.294 0.705
Zn: 0.649 0.649 0.162
Zn: 0.350 0.350 0.839
Zn: 0.501 0.999 0.999
Zn: 0.001 0.705 0.294
Zn: 0.162 0.649 0.649
Zn: 0.839 0.350 0.350
Zn: 0.999 0.501 0.999
Zn: 0.705 0.001 0.294
Zn: 0.100 0.100 0.100
Zn: 0.999 0.999 0.501
Zn: 0.902 0.902 0.902
Zn: 0.294 0.001 0.705
Zn: 0.649 0.162 0.649
Zn: 0.350 0.839 0.350
Zn: 0.705 0.294 0.001
Ca: 0.337 0.337 0.337
Pr: 0.664 0.664 0.664

15.
Computed, not measured: an optimized crystal structure of K2MnCu2Se4 at the PBE level of DFT.

- Total moment: 3.27 μB/f.u.
- Energy relative to the elements, uncorrected: -0.62 eV per atom
- Total DFT energy (no corrections): -39.086 eV for the cell shown
- Space-group type: No. 12

abc: 3.895 7.677 7.605
angles: 108.96 104.84 90.00
Sites, in units of the cell vectors:
Se: 0.517 0.787 0.034
Se: 0.811 0.823 0.621
Se: 0.189 0.177 0.379
Se: 0.483 0.213 0.966
K: 0.134 0.564 0.268
K: 0.866 0.436 0.732
Cu: 0.313 0.018 0.625
Cu: 0.687 0.982 0.375
Mn: 0.000 0.000 0.000

16.
Computed, not measured: an optimized crystal structure of ErAlSi2 at the PBE level of DFT.

- Total moment: 0.00 μB/f.u.
- Energy relative to the elements, uncorrected: -0.34 eV per atom
- Total DFT energy (no corrections): -163.947 eV for the cell shown
- Space-group type: No. 62

abc: 4.148 11.206 12.766
angles: 90.00 90.00 90.00
Sites, in units of the cell vectors:
Si: 0.250 0.273 0.290
Si: 0.250 0.221 0.110
Si: 0.750 0.773 0.210
Si: 0.250 0.036 0.029
Si: 0.250 0.426 0.869
Si: 0.750 0.574 0.131
Si: 0.250 0.464 0.529
Si: 0.750 0.964 0.971
Si: 0.750 0.779 0.890
Si: 0.750 0.727 0.710
Si: 0.250 0.227 0.790
Si: 0.750 0.536 0.471
Si: 0.750 0.926 0.631
Si: 0.750 0.721 0.390
Si: 0.250 0.074 0.369
Si: 0.250 0.279 0.610
Al: 0.250 0.846 0.310
Al: 0.750 0.154 0.690
Al: 0.250 0.052 0.565
Al: 0.750 0.346 0.190
Al: 0.250 0.654 0.810
Al: 0.750 0.948 0.435
Al: 0.750 0.552 0.935
Al: 0.250 0.448 0.065
Er: 0.250 0.727 0.550
Er: 0.750 0.273 0.450
Er: 0.750 0.463 0.699
Er: 0.750 0.037 0.199
Er: 0.250 0.963 0.801
Er: 0.250 0.537 0.301
Er: 0.250 0.773 0.050
Er: 0.750 0.227 0.950

17.
Computed, not measured: an optimized crystal structure of LaZrCo2 at the PBE level of DFT.

- Total moment: 1.15 μB/f.u.
- E above lowest polymorph: 0.113 eV per atom
- Total DFT energy (no corrections): -27.682 eV for the cell shown
- Space-group type: No. 123

abc: 4.793 4.793 3.248
angles: 90.00 90.00 90.00
Sites, in units of the cell vectors:
Zr: 0.000 0.500 0.500
Co: 0.500 0.500 0.000
Co: 0.000 0.000 0.000
La: 0.500 0.000 0.500

18.
Computed, not measured: an optimized crystal structure of Ba2LaInSi at the PBE level of DFT.

- Total moment: 0.00 μB/f.u.
- Energy relative to the elements, uncorrected: -0.06 eV per atom
- E above lowest polymorph: 0.000 eV per atom
- Total DFT energy (no corrections): -17.236 eV for the cell shown
- Space-group type: No. 123

abc: 6.368 5.685 6.368
angles: 90.00 90.00 90.00
Sites, in units of the cell vectors:
Ba: 0.000 0.000 0.500
Ba: 0.500 0.000 0.000
La: 0.000 0.500 0.000
Si: 0.000 0.000 0.000
In: 0.500 0.500 0.500

19.
Computed, not measured: an optimized crystal structure of Be2Hg2B at the PBE level of DFT.

- Total moment: 0.00 μB/f.u.
- E above lowest polymorph: 0.072 eV per atom
- Total DFT energy (no corrections): -18.592 eV for the cell shown
- Space-group type: No. 127

abc: 6.360 6.360 3.770
angles: 90.00 90.00 90.00
Sites, in units of the cell vectors:
Hg: 0.180 0.320 0.000
Hg: 0.820 0.680 0.000
Hg: 0.320 0.820 0.000
Hg: 0.680 0.180 0.000
B: 0.500 0.500 0.000
B: 0.000 0.000 0.000
Be: 0.622 0.878 0.500
Be: 0.378 0.122 0.500
Be: 0.878 0.378 0.500
Be: 0.122 0.622 0.500

20.
Computed, not measured: an optimized crystal structure of TiSiP2O at the PBE level of DFT.

- Total moment: 0.00 μB/f.u.
- Energy relative to the elements, uncorrected: -0.38 eV per atom
- E above lowest polymorph: 0.000 eV per atom
- Total DFT energy (no corrections): -31.000 eV for the cell shown
- Space-group type: No. 123

abc: 4.764 4.764 3.243
angles: 90.00 90.00 90.00
Sites, in units of the cell vectors:
Ti: 0.500 0.500 0.500
Si: 0.000 0.000 0.000
P: 0.500 0.000 0.000
P: 0.000 0.500 0.000
O: 0.000 0.000 0.500